(1)
Density functional theory data (PBE) for a relaxed structure of YMgSnH.

Computed properties:
E: -4.37 eV/atom
volume: 77 Å³/f.u.

Unit cell a=4.3051 b=4.3051 c=8.3238 alpha=90.00 beta=90.00 gamma=90.00
Space group P4/nmm (No. 129, origin choice 2)
Asymmetric unit:
Y: 0.2500 0.2500 0.1195 (multiplicity 2)
Mg: 0.2500 0.7500 0.5000 (multiplicity 2)
Sn: 0.2500 0.2500 0.7323 (multiplicity 2)
H: 0.2500 0.7500 0.0000 (multiplicity 2)


(2)
Density functional theory data (PBE) for a relaxed structure of CaSnIN2.

Computed properties:
uncorrected formation energy: 582.3 meV per atom
excess energy over the best structure of this formula in the dataset: 0 meV/atom
volume: 111 Å³/f.u.

Unit cell a=4.2892 b=4.2892 c=6.0350 alpha=90.00 beta=90.00 gamma=90.00
Space group P4/mmm (No. 123)
Asymmetric unit:
Ca: 0.0000 0.0000 0.0000 (multiplicity 1)
Sn: 0.5000 0.5000 0.5000 (multiplicity 1)
I: 0.5000 0.5000 0.0000 (multiplicity 1)
N: 0.0000 0.5000 0.5000 (multiplicity 2)


(3)
Density functional theory data (PBE) for a relaxed structure of Sm4Te3S.

Computed properties:
uncorrected formation energy: -1536.2 meV per atom
volume: 231 Å³/f.u.

Unit cell a=4.2872 b=4.2872 c=43.6051 alpha=90.00 beta=90.00 gamma=120.00
Space group R-3m (No. 166, hexagonal axes)
Asymmetric unit:
Sm: 0.0000 0.0000 0.1245 (multiplicity 6)
Sm: 0.0000 0.0000 0.3655 (multiplicity 6)
Te: 0.0000 0.0000 0.2544 (multiplicity 6)
Te: 0.0000 0.0000 0.5000 (multiplicity 3)
S: 0.0000 0.0000 0.0000 (multiplicity 3)


(4)
Density functional theory data (PBE) for a relaxed structure of SrGaBr.

Computed properties:
uncorrected formation energy: -624.7 meV per atom
volume: 109 Å³/f.u.

Unit cell a=4.3055 b=4.9299 c=10.2871 alpha=90.00 beta=90.00 gamma=90.00
Space group Amm2 (No. 38)
Asymmetric unit:
Sr: 0.0000 0.0000 0.0000 (multiplicity 2)
Ga: 0.5000 0.0000 0.4380 (multiplicity 2)
Br: 0.0000 0.0000 0.6956 (multiplicity 2)


(5)
Density functional theory data (PBE) for a relaxed structure of Pr4GeTe2Cl.

Computed properties:
uncorrected formation energy: -1353.2 meV per atom
volume: 242 Å³/f.u.

Unit cell a=7.5188 b=4.3761 c=7.7704 alpha=90.00 beta=109.06 gamma=90.00
Space group P2/m (No. 10)
Asymmetric unit:
Pr: 0.2319 0.0000 0.2225 (multiplicity 2)
Pr: 0.2456 0.5000 0.7737 (multiplicity 2)
Ge: 0.0000 0.5000 0.0000 (multiplicity 1)
Te: 0.0000 0.0000 0.5000 (multiplicity 1)
Te: 0.5000 0.5000 0.5000 (multiplicity 1)
Cl: 0.5000 0.0000 0.0000 (multiplicity 1)


(6)
Density functional theory data (PBE) for a relaxed structure of Pu6OsRu5.

Computed properties:
formation energy: -0.115 eV/atom
volume: 232 Å³/f.u.

Unit cell a=4.8214 b=6.6399 c=7.5913 alpha=90.00 beta=107.47 gamma=90.00
Space group P2/m (No. 10)
Asymmetric unit:
Pu: 0.0000 0.2494 0.0000 (multiplicity 2)
Pu: 0.3329 0.2500 0.6672 (multiplicity 4)
Os: 0.5000 0.0000 0.0000 (multiplicity 1)
Ru: 0.1684 0.5000 0.3343 (multiplicity 2)
Ru: 0.1696 0.0000 0.3372 (multiplicity 2)
Ru: 0.5000 0.5000 0.0000 (multiplicity 1)


(7)
Density functional theory data (PBE) for a relaxed structure of Ba2PbCl.

Computed properties:
uncorrected formation energy: -947.5 meV per atom
excess energy over the best structure of this formula in the dataset: 280 meV/atom
volume: 213 Å³/f.u.

Unit cell a=7.2981 b=7.2981 c=15.9784 alpha=90.00 beta=90.00 gamma=90.00
Space group I-42d (No. 122)
Asymmetric unit:
Ba: 0.2174 0.2500 0.1250 (multiplicity 8)
Pb: 0.0000 0.0000 0.5000 (multiplicity 4)
Cl: 0.0000 0.0000 0.0000 (multiplicity 4)


(8)
Density functional theory data (PBE) for a relaxed structure of Sc2Tc5B2Mo.

Computed properties:
formation energy: -0.287 eV/atom
volume: 140 Å³/f.u.

Unit cell a=9.4688 b=9.4688 c=3.1318 alpha=90.00 beta=90.00 gamma=90.00
Space group P4/mbm (No. 127)
Asymmetric unit:
Sc: 0.1761 0.3239 0.0000 (multiplicity 4)
Tc: 0.0000 0.5000 0.5000 (multiplicity 2)
Tc: 0.0678 0.7860 0.5000 (multiplicity 8)
B: 0.1235 0.6235 0.0000 (multiplicity 4)
Mo: 0.0000 0.0000 0.0000 (multiplicity 2)


(9)
Density functional theory data (PBE) for a relaxed structure of Cu3Br5.

Computed properties:
uncorrected formation energy: 1.4 meV per atom
excess energy over the best structure of this formula in the dataset: 134 meV/atom
volume: 199 Å³/f.u.

Unit cell a=7.2221 b=7.2221 c=8.7989 alpha=90.00 beta=90.00 gamma=120.00
Space group P6_3/mcm (No. 193)
Asymmetric unit:
Cu: 0.0000 0.3909 0.2500 (multiplicity 6)
Br: 0.0000 0.2736 0.7500 (multiplicity 6)
Br: 0.3333 0.6667 0.0000 (multiplicity 4)


(10)
Density functional theory data (PBE) for a relaxed structure of TcS2Br.

Computed properties:
uncorrected formation energy: 556.0 meV per atom
excess energy over the best structure of this formula in the dataset: 685 meV/atom
volume: 89 Å³/f.u.

Unit cell a=2.8236 b=2.8236 c=38.6474 alpha=90.00 beta=90.00 gamma=120.00
Space group R-3m (No. 166, hexagonal axes)
Asymmetric unit:
Tc: 0.0000 0.0000 0.0000 (multiplicity 3)
S: 0.0000 0.0000 0.0593 (multiplicity 6)
Br: 0.0000 0.0000 0.5000 (multiplicity 3)


(11)
Density functional theory data (PBE) for a relaxed structure of RbTiNi2Ge.

Computed properties:
formation energy: 2.019 eV/atom
volume: 112 Å³/f.u.

Unit cell a=4.4536 b=4.4536 c=5.6657 alpha=90.00 beta=90.00 gamma=90.00
Space group P4/mmm (No. 123)
Asymmetric unit:
Rb: 0.0000 0.0000 0.0000 (multiplicity 1)
Ti: 0.5000 0.5000 0.5000 (multiplicity 1)
Ni: 0.0000 0.5000 0.0000 (multiplicity 2)
Ge: 0.0000 0.0000 0.5000 (multiplicity 1)


(12)
Density functional theory data (PBE) for a relaxed structure of PrMn2Te4.

Computed properties:
uncorrected formation energy: -507.7 meV per atom
volume: 224 Å³/f.u.

Unit cell a=7.6236 b=7.9483 c=8.7839 alpha=116.52 beta=106.64 gamma=91.80
Space group P1 (No. 1)
Asymmetric unit:
Pr: 0.0000 0.0000 0.0000 (multiplicity 1)
Pr: 0.0075 0.5093 0.5256 (multiplicity 1)
Mn: 0.0315 0.9503 0.4150 (multiplicity 1)
Mn: 0.4475 0.8700 0.7439 (multiplicity 1)
Mn: 0.5301 0.4491 0.8976 (multiplicity 1)
Mn: 0.5315 0.9418 0.3906 (multiplicity 1)
Te: 0.2179 0.1396 0.8019 (multiplicity 1)
Te: 0.2518 0.6787 0.3661 (multiplicity 1)
Te: 0.2793 0.1927 0.3996 (multiplicity 1)
Te: 0.2989 0.7195 0.9201 (multiplicity 1)
Te: 0.7019 0.1404 0.7696 (multiplicity 1)
Te: 0.7028 0.6250 0.7407 (multiplicity 1)
Te: 0.7361 0.6527 0.2791 (multiplicity 1)
Te: 0.7575 0.1074 0.2718 (multiplicity 1)


Q: Among the records above, which one has the lowest volume?
A: YMgSnH


Q: Look up the volume of the sixth one.
A: 232 Å³/f.u.